The following is a DFT calculation (PBE) of a relaxed structure of NaAgSe2N.

Output
Energy above the lowest structure with this stoichiometry: 0 meV/atom
M_tot: 2.1 μB per formula unit
ΔE_f (raw): 710 meV/atom

Lattice parameters (Å, degrees): 5.2982 5.2982 4.0942 90.00 90.00 90.00
Sites, in units of the cell vectors:
Na 0.0000 0.0000 0.0000
Ag 0.5000 0.5000 0.5000
Se 0.0000 0.5000 0.5000
Se 0.5000 0.0000 0.5000
N 0.5000 0.5000 0.0000



The following is a DFT calculation (PBE) of a relaxed structure of Ca3MnNi8.

Output
M_tot: 6.3 μB per formula unit
Formation energy from the elements: -0.12 eV per atom

Lattice parameters (Å, degrees): 8.6479 8.6479 8.6479 33.59 33.59 33.59
Sites, in units of the cell vectors:
Ca 0.0000 0.0000 0.0000
Ca 0.1268 0.1268 0.1268
Ca 0.6210 0.6210 0.6210
Mn 0.4979 0.4979 0.4979
Ni 0.0603 0.0603 0.5572
Ni 0.0603 0.5572 0.0603
Ni 0.0707 0.5625 0.5625
Ni 0.3121 0.3121 0.3121
Ni 0.5572 0.0603 0.0603
Ni 0.5625 0.0707 0.5625
Ni 0.5625 0.5625 0.0707
Ni 0.8126 0.8126 0.8126



The following is a DFT calculation (PBE) of a relaxed structure of PmUCrC3.

Output
M_tot: 0.0 μB per formula unit
Formation energy from the elements: -0.09 eV per atom

Lattice parameters (Å, degrees): 6.8670 6.8670 6.9748 104.80 104.80 32.03
Sites, in units of the cell vectors:
Pm 0.1408 0.1408 0.0739
Pm 0.8592 0.8592 0.9261
U 0.1499 0.1499 0.5732
U 0.8501 0.8501 0.4268
Cr 0.4956 0.4956 0.2811
Cr 0.5044 0.5044 0.7189
C 0.0046 0.0046 0.2813
C 0.3320 0.3320 0.6306
C 0.3440 0.3440 0.2038
C 0.6560 0.6560 0.7962
C 0.6680 0.6680 0.3694
C 0.9954 0.9954 0.7187



The following is a DFT calculation (PBE) of a relaxed structure of AcGdPuMg.

Output
M_tot: 14.0 μB per formula unit
Formation energy from the elements: 0.18 eV per atom

Lattice parameters (Å, degrees): 5.6730 5.6730 5.6730 60.00 60.00 60.00
Sites, in units of the cell vectors:
Ac 0.0000 0.0000 0.0000
Gd 0.5000 0.5000 0.5000
Pu 0.7500 0.7500 0.7500
Mg 0.2500 0.2500 0.2500



Question: M_tot of number 4 (AcGdPuMg)?
Answer: 14.0 μB per formula unit



Question: Which formula does entry 2 have?
Answer: Ca3MnNi8



Repeat the second record exactly.
The following is a DFT calculation (PBE) of a relaxed structure of Ca3MnNi8.

Output
M_tot: 6.3 μB per formula unit
Formation energy from the elements: -0.12 eV per atom

Lattice parameters (Å, degrees): 8.6479 8.6479 8.6479 33.59 33.59 33.59
Sites, in units of the cell vectors:
Ca 0.0000 0.0000 0.0000
Ca 0.1268 0.1268 0.1268
Ca 0.6210 0.6210 0.6210
Mn 0.4979 0.4979 0.4979
Ni 0.0603 0.0603 0.5572
Ni 0.0603 0.5572 0.0603
Ni 0.0707 0.5625 0.5625
Ni 0.3121 0.3121 0.3121
Ni 0.5572 0.0603 0.0603
Ni 0.5625 0.0707 0.5625
Ni 0.5625 0.5625 0.0707
Ni 0.8126 0.8126 0.8126